# 1
YPu2ScP4 | PBE-GGA | relaxed

Calculated values
* E_form: -126 kJ/mol of atoms
* symmetry: P2/m, No. 10
* density of states at the Fermi level: 22.9 states/eV per cell

Cell lengths 6.7934, 3.9536, 6.8231 Å; angles 90.00, 109.75, 90.00 degrees
Last column: nearest neighbours and their distance in Å.
Fractional coordinates of all 8 atoms:
Y  0.0000  0.0000  0.0000  6 P 2.80-2.81
Pu  0.5000  0.0000  0.5000  6 P 2.76-2.77
Pu  0.5000  0.5000  0.0000  6 P 2.82-2.84
Sc  0.0000  0.5000  0.5000  6 P 2.73-2.74
P  0.2441  0.0000  0.7415  2 Sc 2.74, 3 Pu 2.77-2.82, 1 Y 2.80
P  0.2493  0.5000  0.2588  1 Sc 2.73, 3 Pu 2.76-2.84, 2 Y 2.81
P  0.7507  0.5000  0.7412  1 Sc 2.73, 3 Pu 2.76-2.84, 2 Y 2.81
P  0.7559  0.0000  0.2585  2 Sc 2.74, 3 Pu 2.77-2.82, 1 Y 2.80

=====

# 2
YPuSc2P4 | PBE-GGA | relaxed

Calculated values
* E_form: -137 kJ/mol of atoms
* symmetry: P2/m, No. 10
* density of states at the Fermi level: 10.8 states/eV per cell

Cell lengths 6.6875, 3.8928, 6.7252 Å; angles 90.00, 109.57, 90.00 degrees
Last column: nearest neighbours and their distance in Å.
Fractional coordinates of all 8 atoms:
Y  0.0000  0.0000  0.0000  6 P 2.80
Pu  0.0000  0.5000  0.5000  6 P 2.78
Sc  0.5000  0.0000  0.5000  6 P 2.68-2.69
Sc  0.5000  0.5000  0.0000  6 P 2.70-2.71
P  0.2627  0.0000  0.7516  3 Sc 2.68-2.71, 2 Pu 2.78, 1 Y 2.80
P  0.2642  0.5000  0.2574  3 Sc 2.69-2.70, 1 Pu 2.78, 2 Y 2.80
P  0.7358  0.5000  0.7426  3 Sc 2.69-2.70, 1 Pu 2.78, 2 Y 2.80
P  0.7373  0.0000  0.2484  3 Sc 2.68-2.71, 2 Pu 2.78, 1 Y 2.80

=====

# 3
Y2PuScP4 | PBE-GGA | relaxed

Calculated values
* E_form: -140 kJ/mol of atoms
* symmetry: P2/m, No. 10
* density of states at the Fermi level: 11.0 states/eV per cell

Cell lengths 6.8061, 3.9573, 6.8259 Å; angles 90.00, 109.48, 90.00 degrees
Last column: nearest neighbours and their distance in Å.
Fractional coordinates of all 8 atoms:
Y  0.0000  0.0000  0.0000  6 P 2.84-2.85
Y  0.5000  0.5000  0.0000  6 P 2.81
Pu  0.0000  0.5000  0.5000  6 P 2.76-2.77
Sc  0.5000  0.0000  0.5000  6 P 2.72-2.73
P  0.2512  0.0000  0.7404  1 Sc 2.72, 2 Pu 2.77, 3 Y 2.81-2.84
P  0.2583  0.5000  0.2624  2 Sc 2.73, 1 Pu 2.76, 3 Y 2.81-2.85
P  0.7417  0.5000  0.7376  2 Sc 2.73, 1 Pu 2.76, 3 Y 2.81-2.85
P  0.7488  0.0000  0.2596  1 Sc 2.72, 2 Pu 2.77, 3 Y 2.81-2.84

=====

# 4
Pu2ZrScP4 | PBE-GGA | relaxed

Calculated values
* E_form: -128 kJ/mol of atoms
* symmetry: P2/m, No. 10
* density of states at the Fermi level: 18.3 states/eV per cell

Cell lengths 6.6602, 3.8742, 6.7176 Å; angles 90.00, 109.60, 90.00 degrees
Last column: nearest neighbours and their distance in Å.
Fractional coordinates of all 8 atoms:
Pu  0.0000  0.0000  0.0000  6 P 2.78
Pu  0.0000  0.5000  0.5000  6 P 2.77
Zr  0.5000  0.0000  0.5000  6 P 2.69
Sc  0.5000  0.5000  0.0000  6 P 2.69-2.70
P  0.2612  0.5000  0.2543  2 Zr 2.69, 1 Sc 2.70, 3 Pu 2.77-2.78
P  0.2615  0.0000  0.7530  1 Zr 2.69, 2 Sc 2.69, 3 Pu 2.77-2.78
P  0.7385  0.0000  0.2470  1 Zr 2.69, 2 Sc 2.69, 3 Pu 2.77-2.78
P  0.7388  0.5000  0.7457  2 Zr 2.69, 1 Sc 2.70, 3 Pu 2.77-2.78

=====

# 5
Pu4PSe3 | PBE-GGA | relaxed

Calculated values
* symmetry: Cmmm, No. 65
* density of states at the Fermi level: 37.4 states/eV per cell
* raw formation energy: -140.3 kJ per mole of atoms

Cell lengths 7.1468, 7.1468, 4.1172 Å; angles 90.00, 90.00, 109.36 degrees
Last column: nearest neighbours and their distance in Å.
Fractional coordinates of all 8 atoms:
Pu  0.2387  0.2387  0.5000  2 P 2.85, 4 Se 2.92-2.98
Pu  0.2439  0.7561  0.0000  1 P 2.84, 5 Se 2.92-2.99
Pu  0.7561  0.2439  0.0000  1 P 2.84, 5 Se 2.92-2.99
Pu  0.7613  0.7613  0.5000  2 P 2.85, 4 Se 2.92-2.98
P  0.0000  0.0000  0.0000  6 Pu 2.84-2.85
Se  0.0000  0.5000  0.5000  6 Pu 2.92
Se  0.5000  0.0000  0.5000  6 Pu 2.92
Se  0.5000  0.5000  0.0000  6 Pu 2.98-2.99

=====

# 6
Pu4PSe5 | PBE-GGA | relaxed

Calculated values
* symmetry: C2/m, No. 12
* density of states at the Fermi level: 40.3 states/eV per cell
* raw formation energy: -126.1 kJ per mole of atoms

Cell lengths 9.1520, 9.1520, 8.1323 Å; angles 105.62, 105.62, 25.97 degrees
Last column: nearest neighbours and their distance in Å.
Fractional coordinates of all 10 atoms:
Pu  0.0005  0.0005  0.2498  4 Se 2.80-2.90, 2 P 2.89
Pu  0.3303  0.3303  0.8913  5 Se 2.80-2.88, 1 P 2.91
Pu  0.6697  0.6697  0.1087  5 Se 2.80-2.88, 1 P 2.91
Pu  0.9995  0.9995  0.7502  4 Se 2.80-2.90, 2 P 2.89
P  0.5000  0.5000  0.0000  6 Pu 2.89-2.91
Se  0.1636  0.1636  0.3377  3 Pu 2.80
Se  0.1656  0.1656  0.8602  4 Pu 2.85-2.88
Se  0.5000  0.5000  0.5000  4 Pu 2.90
Se  0.8344  0.8344  0.1398  4 Pu 2.85-2.88
Se  0.8364  0.8364  0.6623  3 Pu 2.80

=====

# 7
Pu2PSe | PBE-GGA | relaxed

Calculated values
* symmetry: P6_3/mmc, No. 194
* ΔE to the lowest computed polymorph: 0.054 eV per atom
* density of states at the Fermi level: 34.4 states/eV per cell
* raw formation energy: -127.4 kJ per mole of atoms

Cell lengths 4.0631, 4.0631, 13.7772 Å; angles 90.00, 90.00, 120.00 degrees
Last column: nearest neighbours and their distance in Å.
Fractional coordinates of all 8 atoms:
Pu  0.3333  0.6667  0.1146  3 P 2.83, 3 Se 3.00
Pu  0.3333  0.6667  0.3854  3 P 2.83, 3 Se 3.00
Pu  0.6667  0.3333  0.6146  3 P 2.83, 3 Se 3.00
Pu  0.6667  0.3333  0.8854  3 P 2.83, 3 Se 3.00
P  0.0000  0.0000  0.0000  6 Pu 2.83
P  0.0000  0.0000  0.5000  6 Pu 2.83
Se  0.3333  0.6667  0.7500  6 Pu 3.00
Se  0.6667  0.3333  0.2500  6 Pu 3.00

=====

# 8
PuPSe | PBE-GGA | relaxed

Calculated values
* symmetry: C2/m, No. 12
* density of states at the Fermi level: 15.3 states/eV per cell
* raw formation energy: -85.7 kJ per mole of atoms

Cell lengths 5.2254, 5.2254, 7.1457 Å; angles 92.06, 92.06, 42.50 degrees
Last column: nearest neighbours and their distance in Å.
Fractional coordinates of all 6 atoms:
Pu  0.0820  0.0820  0.2271  3 P 2.84-3.00, 5 Se 2.92-3.08
Pu  0.9180  0.9180  0.7729  3 P 2.84-3.00, 5 Se 2.92-3.08
P  0.2161  0.2161  0.5871  2 P 2.37
P  0.7839  0.7839  0.4129  2 P 2.37
Se  0.3688  0.3688  0.1040  5 Pu 2.92-3.08, 1 Se 3.01, 2 P 3.05
Se  0.6312  0.6312  0.8960  5 Pu 2.92-3.08, 1 Se 3.01, 2 P 3.05